{
  "formula": "LiFeF4",
  "functional": "GGA+U",
  "state": "relaxed",
  "lattice": [[-1.933, 7.777, 1.802], [-7.916, -1.373, -2.566], [-2.283, -2.511, 8.387]],
  "species": ["Li", "Li", "Li", "Li", "Li", "Li", "Li", "Li", "Fe", "Fe", "Fe", "Fe", "Fe", "Fe", "Fe", "Fe", "F", "F", "F", "F", "F", "F", "F", "F", "F", "F", "F", "F", "F", "F", "F", "F", "F", "F", "F", "F", "F", "F", "F", "F", "F", "F", "F", "F", "F", "F", "F", "F"],
  "frac_coords": [[0.354, 0.227, 0.960], [0.354, 0.227, 0.540], [0.146, 0.727, 0.040], [0.146, 0.727, 0.460], [0.854, 0.273, 0.960], [0.854, 0.273, 0.540], [0.646, 0.773, 0.460], [0.646, 0.773, 0.040], [0.923, 0.613, 0.750], [0.101, 0.011, 0.750], [0.399, 0.511, 0.250], [0.577, 0.113, 0.250], [0.423, 0.887, 0.750], [0.601, 0.489, 0.750], [0.899, 0.989, 0.250], [0.077, 0.387, 0.250], [0.963, 0.855, 0.096], [0.963, 0.855, 0.404], [0.075, 0.586, 0.894], [0.075, 0.586, 0.606], [0.060, 0.152, 0.250], [0.167, 0.617, 0.250], [0.244, 0.876, 0.610], [0.244, 0.876, 0.890], [0.256, 0.376, 0.110], [0.256, 0.376, 0.390], [0.333, 0.117, 0.750], [0.440, 0.652, 0.750], [0.425, 0.086, 0.106], [0.425, 0.086, 0.394], [0.537, 0.355, 0.904], [0.537, 0.355, 0.596], [0.463, 0.645, 0.096], [0.463, 0.645, 0.404], [0.575, 0.914, 0.606], [0.575, 0.914, 0.894], [0.560, 0.348, 0.250], [0.667, 0.883, 0.250], [0.744, 0.624, 0.610], [0.744, 0.624, 0.890], [0.756, 0.124, 0.110], [0.756, 0.124, 0.390], [0.833, 0.383, 0.750], [0.940, 0.848, 0.750], [0.925, 0.414, 0.106], [0.925, 0.414, 0.394], [0.037, 0.145, 0.596], [0.037, 0.145, 0.904]],
  "magnetic_moment_mub_per_fu": 3.03,
  "total_energy_ev_per_fu": -29.28,
  "e_above_lowest_polymorph_ev_per_fu": 1.62,
  "sg": "Pnma (62)"
}